Entry from the Alexandria database: a relaxed TcMoS2 crystal (GGA-PBE).

Properties
polymorph energy (0 for the lowest one) = 0 meV per atom
formation energy (no corrections) = -155 meV per atom
calculated density = 6.815 g/cm3

a = 3.0308 Å, b = 3.0308 Å, c = 23.7140 Å
α = 90.00°, β = 90.00°, γ = 120.00°
Space group R-3m (No. 166, hexagonal axes)
Inequivalent atoms, fractional coordinates:
Tc (0.0000, 0.0000, 0.0000)
Mo (0.0000, 0.0000, 0.5000)
S (0.0000, 0.0000, 0.0956)

=====

Entry from the Alexandria database: a relaxed TcMoS4 crystal (GGA-PBE).

Properties
formation energy (no corrections) = -629 meV per atom
calculated density = 4.287 g/cm3

a = 14.1481 Å, b = 3.1266 Å, c = 5.7500 Å
α = 90.00°, β = 101.10°, γ = 90.00°
Space group Cm (No. 8)
Inequivalent atoms, fractional coordinates:
Tc (0.0000, 0.0000, 0.0000)
Mo (0.0079, 0.5000, 0.4068)
S (0.0996, 0.5000, 0.8268)
S (0.1271, 0.0000, 0.3354)
S (0.3811, 0.0000, 0.0737)
S (0.4080, 0.5000, 0.5908)

=====

Entry from the Alexandria database: a relaxed Tc3MoS crystal (GGA-PBE).

Properties
polymorph energy (0 for the lowest one) = 0 meV per atom
formation energy (no corrections) = 620 meV per atom
calculated density = 8.752 g/cm3

a = 4.3100 Å, b = 4.3100 Å, c = 4.3100 Å
α = 90.00°, β = 90.00°, γ = 90.00°
Space group Pm-3m (No. 221)
Inequivalent atoms, fractional coordinates:
Tc (0.0000, 0.0000, 0.5000)
Mo (0.5000, 0.5000, 0.5000)
S (0.0000, 0.0000, 0.0000)

=====

Entry from the Alexandria database: a relaxed TcMoS2 crystal (GGA-PBE).

Properties
polymorph energy (0 for the lowest one) = 101 meV per atom
formation energy (no corrections) = -54 meV per atom
calculated density = 5.820 g/cm3

a = 5.4527 Å, b = 5.4527 Å, c = 9.9066 Å
α = 90.00°, β = 90.00°, γ = 90.00°
Space group I-42d (No. 122)
Inequivalent atoms, fractional coordinates:
Tc (0.0000, 0.0000, 0.0000)
Mo (0.0000, 0.0000, 0.5000)
S (0.2427, 0.2500, 0.1250)